## A
BaNaCd2Pt | PBE | relaxed

The structure in POSCAR format:
```
BaNaCd2Pt
1.0
-1.3794 -4.6447 -2.3890
1.3768 -2.7069 4.4678
-5.4958 0.5802 2.0451
Cd Ba Na Pt
2 1 1 1
Direct
0.5000 0.0000 0.0000
0.0000 0.5000 0.0000
0.0000 0.0000 0.5000
0.5000 0.5000 0.5000
0.0000 0.0000 0.0000
```

***

## B
BaNaCd2Pt | PBE | relaxed

The structure in POSCAR format:
```
BaNaCd2Pt
1.0
5.3299 0.0000 0.0000
0.0000 5.3299 0.0000
0.0000 0.0000 5.3971
Ba Cd Pt Na
1 2 1 1
Direct
0.5000 0.5000 0.5000
0.0000 0.5000 0.0000
0.5000 0.0000 0.0000
0.0000 0.0000 0.0000
0.0000 0.0000 0.5000
```

***

Of the structures shown above, B is the least stable.